Here is a geometry-optimized ScCuRuF2 structure from Alexandria via LeMat-Bulk. Energies are from PBE.

As for the total energy: -5.11 eV per atom. As for the volume: 90 Å³/f.u.

a b c (Å): 3.746 3.746 6.420
angles (deg): 90.00 90.00 90.00
Space group P4/mmm (No. 123)
Unique sites:
Sc1 0.000 0.000 0.000 [1 per cell]
Cu1 0.000 0.000 0.500 [1 per cell]
Ru1 0.500 0.500 0.000 [1 per cell]
F1 0.000 0.500 0.500 [2 per cell]